Entry 1:
The following is a DFT calculation (PBE) of a relaxed TcSn3Bi crystal.

Geometry as extended XYZ:
```
5
Lattice="5.231 0.000 0.000 0.000 5.231 0.000 0.000 0.000 5.231" Properties=species:S:1:pos:R:3 pbc="T T T"
Tc 0.000 0.000 0.000
Sn 0.000 0.000 2.616
Sn 0.000 2.616 0.000
Sn 2.616 0.000 0.000
Bi 2.616 2.616 2.616
```

Values from the calculation:
Symmetry: Pm-3m (221)
Energy relative to the lowest polymorph listed for this composition in kJ/mol of atoms: 0.0
Energy of formation in meV/atom: 288
DOS at the Fermi energy in states/eV/f.u.: 9.2
DFT total energy in eV/cell: -24.8

Entry 2:
The following is a DFT calculation (PBE) of a relaxed TcSn8Bi2 crystal.

Geometry as extended XYZ:
```
11
Lattice="11.081 -2.251 0.000 11.081 2.251 0.000 -0.130 0.000 6.252" Properties=species:S:1:pos:R:3 pbc="T T T"
Tc 0.000 0.000 0.000
Sn 2.222 0.000 1.668
Sn 2.175 0.000 4.673
Sn 6.764 0.000 1.519
Sn 10.998 0.000 1.631
Sn 11.035 0.000 4.621
Sn 15.269 0.000 4.733
Sn 19.858 0.000 1.580
Sn 19.811 0.000 4.585
Bi 6.587 0.000 4.669
Bi 15.446 0.000 1.583
```

Values from the calculation:
Symmetry: C2/m (12)
Energy of formation in meV/atom: 50
DOS at the Fermi energy in states/eV/f.u.: 6.0
DFT total energy in eV/cell: -49.6

Entry 3:
The following is a DFT calculation (PBE) of a relaxed TcSnBi2 crystal.

Geometry as extended XYZ:
```
8
Lattice="-3.280 3.280 6.583 3.280 -3.280 6.583 3.280 3.280 -6.583" Properties=species:S:1:pos:R:3 pbc="T T T"
Tc 0.000 0.000 0.000
Tc 0.000 3.280 3.291
Sn 3.280 0.000 3.291
Sn 0.000 0.000 6.583
Bi 4.920 1.295 -1.646
Bi 1.295 1.640 1.646
Bi -1.640 1.985 4.937
Bi 1.985 1.640 8.229
```

Values from the calculation:
Symmetry: I-42d (122)
Energy of formation in meV/atom: 704
DOS at the Fermi energy in states/eV/f.u.: 5.6
DFT total energy in eV/cell: -38.6

Entry 4:
The following is a DFT calculation (PBE) of a relaxed TcSn2Bi crystal.

Geometry as extended XYZ:
```
4
Lattice="3.338 0.000 0.000 0.000 3.338 0.000 0.000 0.000 8.306" Properties=species:S:1:pos:R:3 pbc="T T T"
Tc 0.000 0.000 0.000
Sn 1.669 1.669 1.569
Sn 1.669 1.669 6.737
Bi 0.000 0.000 4.153
```

Values from the calculation:
Symmetry: P4/mmm (123)
Energy of formation in meV/atom: 187
DOS at the Fermi energy in states/eV/f.u.: 3.2
DFT total energy in eV/cell: -21.5

Entry 5:
The following is a DFT calculation (PBE) of a relaxed TcSnBi2 crystal.

Geometry as extended XYZ:
```
4
Lattice="1.620 0.935 11.824 -1.620 0.935 11.824 0.000 -1.870 11.824" Properties=species:S:1:pos:R:3 pbc="T T T"
Tc 0.000 0.000 0.000
Sn 0.000 0.000 17.736
Bi 0.000 0.000 2.779
Bi 0.000 0.000 32.693
```

Values from the calculation:
Symmetry: R-3m (166)
Energy of formation in meV/atom: 796
DOS at the Fermi energy in states/eV/f.u.: 4.0
DFT total energy in eV/cell: -18.9

Entry 6:
The following is a DFT calculation (PBE) of a relaxed TcSn2Bi crystal.

Geometry as extended XYZ:
```
8
Lattice="-2.543 2.543 8.811 2.543 -2.543 8.811 2.543 2.543 -8.811" Properties=species:S:1:pos:R:3 pbc="T T T"
Tc 0.000 0.000 0.000
Tc 0.000 2.543 4.405
Sn 3.814 0.804 -2.203
Sn 0.804 1.271 2.203
Sn -1.271 1.738 6.608
Sn 1.738 1.271 11.013
Bi 2.543 0.000 4.405
Bi 0.000 0.000 8.811
```

Values from the calculation:
Symmetry: I-42d (122)
Energy of formation in meV/atom: 602
DOS at the Fermi energy in states/eV/f.u.: 2.9
DFT total energy in eV/cell: -39.7

Entry 7:
The following is a DFT calculation (PBE) of a relaxed Tc2SnBi crystal.

Geometry as extended XYZ:
```
8
Lattice="-3.093 3.093 6.106 3.093 -3.093 6.106 3.093 3.093 -6.106" Properties=species:S:1:pos:R:3 pbc="T T T"
Tc 4.640 1.491 -1.527
Tc 1.491 1.547 1.527
Tc -1.547 1.602 4.580
Tc 1.602 1.547 7.633
Sn 0.000 0.000 0.000
Sn 0.000 3.093 3.053
Bi 3.093 0.000 3.053
Bi 0.000 0.000 6.106
```

Values from the calculation:
Symmetry: I-42d (122)
Energy relative to the lowest polymorph listed for this composition in kJ/mol of atoms: 91.3
Energy of formation in meV/atom: 1357
DOS at the Fermi energy in states/eV/f.u.: 5.1
DFT total energy in eV/cell: -46.4

Entry 8:
The following is a DFT calculation (PBE) of a relaxed TcSn6Bi2 crystal.

Geometry as extended XYZ:
```
9
Lattice="3.655 0.000 0.000 0.000 7.540 4.358 0.000 -7.540 4.358" Properties=species:S:1:pos:R:3 pbc="T T T"
Tc 0.000 0.000 0.000
Sn 0.000 4.924 5.868
Sn 0.000 -4.924 5.868
Sn 0.000 0.000 5.701
Sn 1.828 -5.669 3.280
Sn 1.828 0.000 2.158
Sn 1.828 5.669 3.280
Bi 1.828 -2.509 4.358
Bi 1.828 2.509 4.358
```

Values from the calculation:
Symmetry: Amm2 (38)
Energy of formation in meV/atom: 69
DOS at the Fermi energy in states/eV/f.u.: 5.2
DFT total energy in eV/cell: -41.5

Please write out number 8 again, unchanged.
The following is a DFT calculation (PBE) of a relaxed TcSn6Bi2 crystal.

Geometry as extended XYZ:
```
9
Lattice="3.655 0.000 0.000 0.000 7.540 4.358 0.000 -7.540 4.358" Properties=species:S:1:pos:R:3 pbc="T T T"
Tc 0.000 0.000 0.000
Sn 0.000 4.924 5.868
Sn 0.000 -4.924 5.868
Sn 0.000 0.000 5.701
Sn 1.828 -5.669 3.280
Sn 1.828 0.000 2.158
Sn 1.828 5.669 3.280
Bi 1.828 -2.509 4.358
Bi 1.828 2.509 4.358
```

Values from the calculation:
Symmetry: Amm2 (38)
Energy of formation in meV/atom: 69
DOS at the Fermi energy in states/eV/f.u.: 5.2
DFT total energy in eV/cell: -41.5

What did the eighth record say?
The following is a DFT calculation (PBE) of a relaxed TcSn6Bi2 crystal.

Geometry as extended XYZ:
```
9
Lattice="3.655 0.000 0.000 0.000 7.540 4.358 0.000 -7.540 4.358" Properties=species:S:1:pos:R:3 pbc="T T T"
Tc 0.000 0.000 0.000
Sn 0.000 4.924 5.868
Sn 0.000 -4.924 5.868
Sn 0.000 0.000 5.701
Sn 1.828 -5.669 3.280
Sn 1.828 0.000 2.158
Sn 1.828 5.669 3.280
Bi 1.828 -2.509 4.358
Bi 1.828 2.509 4.358
```

Values from the calculation:
Symmetry: Amm2 (38)
Energy of formation in meV/atom: 69
DOS at the Fermi energy in states/eV/f.u.: 5.2
DFT total energy in eV/cell: -41.5

Question: Look up the DOS at the Fermi energy of the fifth one.
Answer: 4.0 states/eV/f.u.